# 1
DFT (PBE-GGA) results for a geometry-optimized PrH8C7NO8 structure.

a b c (Å): 15.4797 6.7214 19.0108
angles (deg): 90.00 108.66 90.00
Space group C2/c (No. 15)
Symmetry-distinct sites (fractional):
Pr  0.2318  0.2351  0.3844 [8 per cell]
H  0.0241  0.0216  0.3057 [8 per cell]
H  0.0510  0.4310  0.3508 [8 per cell]
H  0.0937  0.4296  0.8023 [8 per cell]
H  0.1089  0.2486  0.0232 [8 per cell]
H  0.1090  0.4165  0.1182 [8 per cell]
H  0.1978  0.4138  0.1911 [8 per cell]
H  0.2205  0.0804  0.0129 [8 per cell]
H  0.2236  0.2928  0.9173 [8 per cell]
C  0.0094  0.0558  0.8507 [8 per cell]
C  0.0346  0.2293  0.5356 [8 per cell]
C  0.0567  0.2057  0.9720 [8 per cell]
C  0.0655  0.3079  0.4739 [8 per cell]
C  0.0797  0.0914  0.6522 [8 per cell]
C  0.0813  0.1134  0.9144 [8 per cell]
C  0.1585  0.0346  0.7184 [8 per cell]
N  0.1022  0.1755  0.5967 [8 per cell]
O  0.0072  0.3697  0.4151 [8 per cell]
O  0.0897  0.4335  0.3171 [8 per cell]
O  0.1428  0.0651  0.2689 [8 per cell]
O  0.1520  0.3024  0.4847 [8 per cell]
O  0.1675  0.0771  0.9208 [8 per cell]
O  0.1755  0.4421  0.1366 [8 per cell]
O  0.2377  0.0945  0.7196 [8 per cell]
O  0.2435  0.0788  0.0684 [8 per cell]

Output
- E (eV/cell) = -1347.95



# 2
DFT (PBE-GGA) results for a geometry-optimized ZnH26PtC8S4N2O12 structure.

a b c (Å): 5.9507 6.4564 13.1226
angles (deg): 81.26 87.93 84.16
Space group P-1 (No. 2)
Symmetry-distinct sites (fractional):
Zn  0.0000  0.0000  0.0000 [1 per cell]
H  0.0274  0.3425  0.1035 [2 per cell]
H  0.0465  0.0478  0.3571 [2 per cell]
H  0.1285  0.3663  0.8202 [2 per cell]
H  0.1455  0.9601  0.2389 [2 per cell]
H  0.1639  0.5749  0.7394 [2 per cell]
H  0.1714  0.7832  0.3579 [2 per cell]
H  0.2143  0.5043  0.2207 [2 per cell]
H  0.2653  0.2173  0.0853 [2 per cell]
H  0.2656  0.1121  0.6585 [2 per cell]
H  0.3290  0.7102  0.1067 [2 per cell]
H  0.3755  0.8030  0.9857 [2 per cell]
H  0.4520  0.4028  0.1865 [2 per cell]
H  0.4551  0.2578  0.7132 [2 per cell]
Pt  0.5000  0.5000  0.5000 [1 per cell]
C  0.1760  0.9477  0.3215 [2 per cell]
C  0.3434  0.9989  0.8170 [2 per cell]
C  0.4116  0.0976  0.7090 [2 per cell]
C  0.4250  0.1692  0.3894 [2 per cell]
S  0.2175  0.3131  0.4500 [2 per cell]
S  0.3148  0.7481  0.5919 [2 per cell]
N  0.3966  0.0146  0.3366 [2 per cell]
O  0.0694  0.5166  0.7980 [2 per cell]
O  0.1166  0.2615  0.0545 [2 per cell]
O  0.1814  0.1032  0.8584 [2 per cell]
O  0.3016  0.8369  0.0511 [2 per cell]
O  0.3729  0.5359  0.2039 [2 per cell]
O  0.4437  0.8255  0.8585 [2 per cell]

Output
- E (eV/cell) = -296.18



# 3
DFT (PBE-GGA) results for a geometry-optimized ZnH26PtC12S4N2O10 structure.

a b c (Å): 6.0584 7.9225 12.0676
angles (deg): 101.24 95.88 107.07
Space group P1 (No. 1)
Symmetry-distinct sites (fractional):
Zn  0.0000  0.0000  0.0000 [1 per cell]
H  0.0512  0.6420  0.2489 [1 per cell]
H  0.1311  0.3460  0.0280 [1 per cell]
H  0.1426  0.5717  0.7006 [1 per cell]
H  0.1854  0.1338  0.7225 [1 per cell]
H  0.1867  0.6965  0.1311 [1 per cell]
H  0.2421  0.9417  0.3680 [1 per cell]
H  0.2432  0.5083  0.8872 [1 per cell]
H  0.2482  0.1865  0.5890 [1 per cell]
H  0.2495  0.0038  0.2344 [1 per cell]
H  0.3246  0.7368  0.7933 [1 per cell]
H  0.4045  0.6251  0.3513 [1 per cell]
H  0.4087  0.5195  0.2084 [1 per cell]
H  0.4186  0.9803  0.9614 [1 per cell]
H  0.4367  0.5348  0.9948 [1 per cell]
H  0.4583  0.1439  0.0688 [1 per cell]
H  0.5402  0.3440  0.8271 [1 per cell]
H  0.5400  0.4498  0.7100 [1 per cell]
H  0.6620  0.3384  0.2212 [1 per cell]
H  0.6728  0.4507  0.1244 [1 per cell]
H  0.7428  0.6844  0.8781 [1 per cell]
H  0.7468  0.9890  0.6244 [1 per cell]
H  0.7839  0.8109  0.3317 [1 per cell]
H  0.7930  0.2984  0.6206 [1 per cell]
H  0.9059  0.3272  0.7677 [1 per cell]
H  0.9298  0.2938  0.1074 [1 per cell]
H  0.9980  0.6904  0.8500 [1 per cell]
Pt  0.9891  0.4869  0.4739 [1 per cell]
C  0.2159  0.7150  0.2247 [1 per cell]
C  0.2799  0.8439  0.5887 [1 per cell]
C  0.3015  0.9164  0.2850 [1 per cell]
C  0.3234  0.1651  0.6700 [1 per cell]
C  0.4145  0.6470  0.2647 [1 per cell]
C  0.5403  0.3233  0.7344 [1 per cell]
C  0.6343  0.8046  0.2686 [1 per cell]
C  0.6625  0.0590  0.6865 [1 per cell]
C  0.6992  0.1289  0.3581 [1 per cell]
C  0.7125  0.0060  0.8003 [1 per cell]
C  0.7178  0.7973  0.1515 [1 per cell]
C  0.7493  0.2653  0.7019 [1 per cell]
S  0.3793  0.6601  0.5541 [1 per cell]
S  0.5992  0.3127  0.3979 [1 per cell]
S  0.9824  0.7804  0.5455 [1 per cell]
S  0.9975  0.1968  0.3955 [1 per cell]
N  0.4129  0.0100  0.6431 [1 per cell]
N  0.5592  0.9639  0.3061 [1 per cell]
O  0.0696  0.2670  0.0816 [1 per cell]
O  0.1860  0.6242  0.7837 [1 per cell]
O  0.2872  0.4507  0.9478 [1 per cell]
O  0.3453  0.0216  0.0267 [1 per cell]
O  0.5476  0.9161  0.8440 [1 per cell]
O  0.6747  0.3302  0.1394 [1 per cell]
O  0.6881  0.6417  0.0894 [1 per cell]
O  0.8157  0.9479  0.1278 [1 per cell]
O  0.9084  0.7272  0.9110 [1 per cell]
O  0.9271  0.0606  0.8445 [1 per cell]

Output
- E (eV/cell) = -317.60



# 4
DFT (PBE-GGA) results for a geometry-optimized ReH6CN3O4 structure.

a b c (Å): 4.8271 7.4953 8.3108
angles (deg): 74.81 88.68 79.76
Space group P-1 (No. 2)
Symmetry-distinct sites (fractional):
Re  0.0013  0.2545  0.1849 [2 per cell]
H  0.1786  0.6056  0.2557 [2 per cell]
H  0.1968  0.5978  0.4703 [2 per cell]
H  0.3049  0.1046  0.5821 [2 per cell]
H  0.3108  0.1032  0.8507 [2 per cell]
H  0.4792  0.7649  0.0733 [2 per cell]
H  0.4978  0.2482  0.4346 [2 per cell]
C  0.4522  0.7519  0.3212 [2 per cell]
N  0.2766  0.6293  0.3534 [2 per cell]
N  0.4483  0.1926  0.5548 [2 per cell]
N  0.4692  0.1788  0.8348 [2 per cell]
O  0.0674  0.9730  0.7306 [2 per cell]
O  0.1304  0.6606  0.0212 [2 per cell]
O  0.1449  0.6008  0.6883 [2 per cell]
O  0.3666  0.2434  0.1853 [2 per cell]

Output
- E (eV/cell) = -196.31